# CaLa2PmAs4 PBE-GGA optimized geometry
data_CaLa2PmAs4
_chemical_formula_sum 'Ca1 La2 Pm1 As4'
_symmetry_space_group_name_H-M 'P 1 2/m 1'
_symmetry_Int_Tables_number 10
_symmetry_space_group_name_Hall '-P 2y'
_cell_length_a 7.431
_cell_length_b 4.330
_cell_length_c 7.510
_cell_angle_alpha 90.00
_cell_angle_beta 109.68
_cell_angle_gamma 90.00
loop_
_atom_site_label
_atom_site_type_symbol
_atom_site_fract_x
_atom_site_fract_y
_atom_site_fract_z
Ca1 Ca 0.000 0.000 0.000
La1 La 0.500 0.000 0.500
La2 La 0.500 0.500 0.000
Pm1 Pm 0.000 0.500 0.500
As1 As 0.245 0.000 0.746
As2 As 0.247 0.500 0.252
# * energy of formation from the pure elements: -1374 meV per atom



# La8CeHo2 PBE-GGA optimized geometry
data_La8CeHo2
_chemical_formula_sum 'La16 Ce2 Ho4'
_symmetry_space_group_name_H-M 'I m m m'
_symmetry_Int_Tables_number 71
_symmetry_space_group_name_Hall '-I 2 2'
_cell_length_a 5.797
_cell_length_b 8.177
_cell_length_c 16.296
_cell_angle_alpha 90.00
_cell_angle_beta 90.00
_cell_angle_gamma 90.00
loop_
_atom_site_label
_atom_site_type_symbol
_atom_site_fract_x
_atom_site_fract_y
_atom_site_fract_z
La1 La 0.000 0.000 0.161
La2 La 0.000 0.209 0.368
La3 La 0.000 0.282 0.000
Ce1 Ce 0.000 0.500 0.500
Ho1 Ho 0.000 0.500 0.201
# * energy of formation from the pure elements: 102 meV per atom



Record-wise electronic total energy values, in eV/atom: -5.77; -4.85